# 1
Below is a relaxed TbCeTcPt crystal, with properties calculated at the PBE level.

The structure belongs to space group F-43m (No. 216); the cell edges are 6.975, 6.975 and 6.975 Å and the angles 90.00°, 90.00° and 90.00°. The distinct sites, in fractional coordinates, are Tb at (0.000, 0.000, 0.000), Ce at (0.000, 0.000, 0.500), Tc at (0.250, 0.250, 0.750) and Pt at (0.250, 0.250, 0.250).

Its density of states at the Fermi level is 10.74 states/eV per cell. Its volume is 21.21 Å³ per atom. The calculation puts the formation energy at -501.9 meV/atom.

***

# 2
Below is a relaxed Ce12TcPt6 crystal, with properties calculated at the PBE level.

The structure belongs to space group R-3 (No. 148, hexagonal axes); the cell edges are 12.3128, 12.3128 and 12.3584 Å and the angles 90.00°, 90.00° and 120.00°. The distinct sites, in fractional coordinates, are Ce at (0.0237, 0.2109, 0.3984), Ce at (0.0666, 0.2088, 0.8788), Tc at (0.0000, 0.0000, 0.0000) and Pt at (0.0404, 0.2710, 0.6420).

Its density of states at the Fermi level is 201.68 states/eV per cell. Its volume is 28.47 Å³ per atom. The calculation puts the formation energy at -576.3 meV/atom.

***

# 3
Below is a relaxed Ce4TcPt crystal, with properties calculated at the PBE level.

The structure belongs to space group C2/c (No. 15); the cell edges are 8.306, 12.087 and 6.044 Å and the angles 90.00°, 104.06° and 90.00°. The distinct sites, in fractional coordinates, are Ce at (0.114, 0.180, 0.044), Ce at (0.195, 0.413, 0.404), Tc at (0.000, 0.005, 0.750) and Pt at (0.000, 0.379, 0.750).

Its density of states at the Fermi level is 61.63 states/eV per cell. Its volume is 24.52 Å³ per atom. The calculation puts the formation energy at -402.2 meV/atom. The energy above the most stable polymorph in this dataset is 0 meV/atom.

***

# 4
Below is a relaxed Ce6TcPt2 crystal, with properties calculated at the PBE level.

The structure belongs to space group C2/m (No. 12); the cell edges are 13.495, 4.623 and 8.047 Å and the angles 90.00°, 123.96° and 90.00°. The distinct sites, in fractional coordinates, are Ce at (0.062, 0.000, 0.205), Ce at (0.098, 0.500, 0.799), Ce at (0.241, 0.500, 0.209), Tc at (0.000, 0.000, 0.500) and Pt at (0.164, 0.500, 0.501).

Its density of states at the Fermi level is 35.76 states/eV per cell. Its volume is 23.13 Å³ per atom. The calculation puts the formation energy at -365.9 meV/atom.